Entry from Alexandria via LeMat-Bulk: a geometry-optimized KMgInF6 structure (GGA-PBE).

Calculated values
density of states at the Fermi level: 0.0000 states/eV/atom
raw formation energy: -2942 meV per atom
M_tot: 0.2 Bohr magnetons per cell

abc: 7.407 7.826 10.770
angles: 90.00 90.00 90.00
Space group Imma (No. 74)
Symmetry-distinct sites (fractional):
K (0.000, 0.250, 0.047)
Mg (0.250, 0.250, 0.750)
In (0.000, 0.000, 0.500)
F (0.000, 0.250, 0.418)
F (0.000, 0.250, 0.800)
F (0.212, 0.068, 0.618)